1.
## Cu2SiW (PBE)

Data for a relaxed Cu2SiW crystal.

```
Cu2SiW
1.0
5.220 0.009 0.040
4.517 2.617 0.040
1.796 0.484 3.941
Si Cu W
1 2 1
Cartesian
8.649 2.333 3.016
5.625 1.517 2.081
1.937 0.523 3.871
2.883 0.778 1.005
```

Results
crystal system: monoclinic
SG: No. 12
total magnetization: 0.000 μB/atom
E_form (uncorrected): 0.108 eV per atom


2.
## CuSi2W (PBE)

Data for a relaxed CuSi2W crystal.

```
CuSi2W
1.0
-2.550 1.032 -0.118
-0.274 -2.192 1.644
1.503 4.411 6.132
Si W Cu
2 1 1
Cartesian
1.498 4.397 6.113
0.756 2.220 3.086
-1.036 0.523 2.296
-0.284 2.729 5.362
```

Results
crystal system: orthorhombic
SG: No. 65
total magnetization: 0.000 μB/atom
offset from the most stable computed form: 0.280 eV/atom
E_form (uncorrected): 0.264 eV per atom


3.
## CuSiW2 (PBE)

Data for a relaxed CuSiW2 crystal.

```
CuSiW2
1.0
8.884 -0.004 -0.002
8.449 2.748 -0.002
8.449 1.338 2.401
W Si Cu
2 1 1
Cartesian
0.036 0.006 0.003
12.855 2.035 1.195
19.336 3.061 1.797
6.445 1.020 0.599
```

Results
crystal system: trigonal
SG: No. 166
total magnetization: 0.000 μB/atom
E_form (uncorrected): 0.290 eV per atom


4.
## Cu2SiW (PBE)

Data for a relaxed Cu2SiW crystal.

```
Cu2SiW
1.0
6.730 0.000 0.000
0.000 6.730 0.000
3.365 3.365 2.489
Si Cu W
2 4 2
Cartesian
3.365 6.730 1.245
3.365 3.365 0.000
8.413 8.193 1.867
1.902 5.048 0.622
5.048 5.267 1.867
4.828 1.683 0.622
6.730 3.365 1.245
0.000 0.000 0.000
```

Results
crystal system: tetragonal
SG: No. 122
total magnetization: 0.000 μB/atom
E_form (uncorrected): 0.434 eV per atom


| no. | energy (eV/atom) |
| --- | --- |
| 1 | -6.534 |
| 2 | -6.710 |
| 3 | -8.566 |
| 4 | -6.208 |